Tl2FeF6: relaxed, PBE with a Hubbard U.

Cell lengths 3.7996, 6.3072, 6.3072 Å; angles 120.00, 90.00, 90.00 degrees
Last column: nearest neighbours and their distance in Å.
Fractional positions:
Tl 0.5000 0.3333 0.6667  3 F 2.48
Tl 0.5000 0.6667 0.3333  3 F 2.48
Fe 0.0000 0.0000 0.0000  3 F 1.96
F 0.5000 0.0000 0.7672  2 Fe 2.40, 2 Tl 2.48, 6 F 2.54-2.60
F 0.5000 0.7672 0.0000  2 Fe 2.40, 2 Tl 2.48, 6 F 2.54-2.60
F 0.5000 0.2328 0.2328  2 Fe 2.40, 2 Tl 2.48, 6 F 2.54-2.60
F 0.0000 0.6888 0.6888  1 Fe 1.96
F 0.0000 0.3112 0.0000  1 Fe 1.96
F 0.0000 0.0000 0.3112  1 Fe 1.96

Properties
Theoretical density, Mg/m³: 7.340
Total energy, eV per atom: -4.2423
Space group: P-62m